(1)
First-principles (PBE) data for a relaxed structure of LaMgSc2Rh, as listed in the Alexandria database.

It has space group P4/mmm (No. 123), with a = 5.010 Å, b = 5.010 Å, c = 5.177 Å, α = 90.00°, β = 90.00° and γ = 90.00°. The inequivalent atoms are La at (0.000, 0.000, 0.000), Mg at (0.500, 0.500, 0.000), Sc at (0.000, 0.500, 0.500) and Rh at (0.500, 0.500, 0.500).

The calculated total energy comes out at -5.610 eV per atom. Its formation energy is -0.303 eV/atom.

(2)
First-principles (PBE) data for a relaxed structure of Be2InAs, as listed in the Alexandria database.

It has space group C2/m (No. 12), with a = 6.171 Å, b = 3.571 Å, c = 6.396 Å, α = 90.00°, β = 109.18° and γ = 90.00°. The inequivalent atoms are Be at (0.225, 0.000, 0.170), In at (0.000, 0.000, 0.500) and As at (0.000, 0.500, 0.000).

The calculated total energy comes out at -3.458 eV per atom. Its formation energy is 0.252 eV/atom.

(3)
First-principles (PBE) data for a relaxed structure of MnPt2Au, as listed in the Alexandria database.

It has space group C2/m (No. 12), with a = 9.334 Å, b = 2.887 Å, c = 4.843 Å, α = 90.00°, β = 102.47° and γ = 90.00°. The inequivalent atoms are Mn at (0.000, 0.000, 0.000), Pt at (0.242, 0.500, 0.242) and Au at (0.000, 0.500, 0.500).

The calculated total energy comes out at -6.310 eV per atom. Its formation energy is -0.178 eV/atom.

(4)
First-principles (PBE) data for a relaxed structure of RbCdRh3, as listed in the Alexandria database.

It has space group Pm-3m (No. 221), with a = 4.847 Å, b = 4.847 Å, c = 4.847 Å, α = 90.00°, β = 90.00° and γ = 90.00°. The inequivalent atoms are Rb at (0.000, 0.000, 0.000), Cd at (0.500, 0.500, 0.500) and Rh at (0.000, 0.000, 0.500).

The calculated total energy comes out at -2.747 eV per atom. Its formation energy is 2.041 eV/atom.

(5)
First-principles (PBE) data for a relaxed structure of Tb3Pm4Pr4, as listed in the Alexandria database.

It has space group Amm2 (No. 38), with a = 10.844 Å, b = 5.794 Å, c = 12.227 Å, α = 90.00°, β = 90.00° and γ = 90.00°. The inequivalent atoms are Tb at (0.000, 0.000, 0.000), Tb at (0.292, 0.000, 0.155), Pm at (0.000, 0.000, 0.294), Pm at (0.301, 0.000, 0.851), Pm at (0.500, 0.000, 0.362), Pr at (0.000, 0.000, 0.705), Pr at (0.205, 0.000, 0.501) and Pr at (0.500, 0.000, 0.635).

The calculated total energy comes out at -4.586 eV per atom. Its formation energy is 0.143 eV/atom.

(6)
First-principles (PBE) data for a relaxed structure of CaRe2Br, as listed in the Alexandria database.

It has space group R-3m (No. 166, hexagonal axes), with a = 2.9739 Å, b = 2.9739 Å, c = 28.7652 Å, α = 90.00°, β = 90.00° and γ = 120.00°. The inequivalent atoms are Ca at (0.0000, 0.0000, 0.0000), Re at (0.0000, 0.0000, 0.2439) and Br at (0.0000, 0.0000, 0.5000).

The calculated total energy comes out at -5.956 eV per atom. The uncorrected formation energy is 1.19 eV/atom.

(7)
First-principles (PBE) data for a relaxed structure of ScZn2Hg, as listed in the Alexandria database.

It has space group I-42d (No. 122), with a = 7.566 Å, b = 7.566 Å, c = 5.789 Å, α = 90.00°, β = 90.00° and γ = 90.00°. The inequivalent atoms are Sc at (0.000, 0.000, 0.000), Zn at (0.235, 0.250, 0.625) and Hg at (0.000, 0.000, 0.500).

The calculated total energy comes out at -2.293 eV per atom. Its formation energy is 0.003 eV/atom.

(8)
First-principles (PBE) data for a relaxed structure of Pa2Co3Si4Mo, as listed in the Alexandria database.

It has space group P-4m2 (No. 115), with a = 3.961 Å, b = 3.961 Å, c = 9.868 Å, α = 90.00°, β = 90.00° and γ = 90.00°. The inequivalent atoms are Pa at (0.000, 0.500, 0.238), Co at (0.000, 0.500, 0.878), Co at (0.500, 0.500, 0.500), Si at (0.000, 0.000, 0.000), Si at (0.000, 0.500, 0.647), Si at (0.500, 0.500, 0.000) and Mo at (0.000, 0.000, 0.500).

The calculated total energy comes out at -7.921 eV per atom. The uncorrected formation energy is -0.64 eV/atom.

(9)
First-principles (PBE) data for a relaxed structure of Cd3GeSb, as listed in the Alexandria database.

It has space group Pm-3m (No. 221), with a = 5.572 Å, b = 5.572 Å, c = 5.572 Å, α = 90.00°, β = 90.00° and γ = 90.00°. The inequivalent atoms are Cd at (0.000, 0.000, 0.500), Ge at (0.500, 0.500, 0.500) and Sb at (0.000, 0.000, 0.000).

The calculated total energy comes out at -1.615 eV per atom. The uncorrected formation energy is 0.68 eV/atom.

(10)
First-principles (PBE) data for a relaxed structure of KBaPdSe2, as listed in the Alexandria database.

It has space group P4/mmm (No. 123), with a = 5.456 Å, b = 5.456 Å, c = 5.342 Å, α = 90.00°, β = 90.00° and γ = 90.00°. The inequivalent atoms are K at (0.000, 0.000, 0.000), Ba at (0.500, 0.500, 0.000), Pd at (0.500, 0.500, 0.500) and Se at (0.000, 0.500, 0.500).

The calculated total energy comes out at -3.684 eV per atom. The uncorrected formation energy is -0.65 eV/atom.

- What is the calculated total energy in the first record?
  -5.610 eV per atom

- The highest calculated total energy belongs to which entry?
  Cd3GeSb

- The lowest calculated total energy belongs to which entry?
  Pa2Co3Si4Mo